{
  "formula": "Pm3Dy12Th5",
  "functional": "PBE",
  "state": "optimized geometry",
  "cell": [[16.163, 0.000, 0.000], [-5.388, 15.239, 0.000], [-5.388, -7.619, 13.197]],
  "species": ["Dy", "Dy", "Dy", "Dy", "Dy", "Dy", "Dy", "Dy", "Dy", "Dy", "Dy", "Dy", "Dy", "Dy", "Dy", "Dy", "Dy", "Dy", "Dy", "Dy", "Dy", "Dy", "Dy", "Dy", "Dy", "Dy", "Dy", "Dy", "Dy", "Dy", "Dy", "Dy", "Dy", "Dy", "Dy", "Dy", "Dy", "Dy", "Dy", "Dy", "Dy", "Dy", "Dy", "Dy", "Dy", "Dy", "Dy", "Dy", "Pm", "Pm", "Pm", "Pm", "Pm", "Pm", "Pm", "Pm", "Pm", "Pm", "Pm", "Pm", "Th", "Th", "Th", "Th", "Th", "Th", "Th", "Th", "Th", "Th", "Th", "Th", "Th", "Th", "Th", "Th", "Th", "Th", "Th", "Th"],
  "frac_coords": [[0.927, 0.565, 0.158], [0.658, 0.427, 0.565], [0.769, 0.427, 0.362], [0.862, 0.269, 0.427], [0.342, 0.769, 0.407], [0.573, 0.342, 0.935], [0.065, 0.158, 0.427], [0.269, 0.407, 0.842], [0.842, 0.935, 0.073], [0.731, 0.593, 0.158], [0.427, 0.658, 0.065], [0.138, 0.731, 0.573], [0.407, 0.138, 0.565], [0.158, 0.065, 0.927], [0.842, 0.907, 0.269], [0.435, 0.073, 0.342], [0.769, 0.342, 0.907], [0.073, 0.638, 0.731], [0.342, 0.573, 0.435], [0.565, 0.638, 0.407], [0.427, 0.769, 0.862], [0.407, 0.269, 0.342], [0.638, 0.565, 0.907], [0.862, 0.593, 0.935], [0.573, 0.231, 0.138], [0.731, 0.138, 0.073], [0.362, 0.927, 0.769], [0.593, 0.862, 0.435], [0.927, 0.362, 0.269], [0.565, 0.927, 0.658], [0.093, 0.935, 0.362], [0.658, 0.231, 0.593], [0.231, 0.573, 0.638], [0.362, 0.435, 0.093], [0.907, 0.842, 0.769], [0.073, 0.435, 0.842], [0.093, 0.158, 0.231], [0.935, 0.842, 0.573], [0.435, 0.362, 0.593], [0.138, 0.407, 0.065], [0.065, 0.907, 0.138], [0.231, 0.658, 0.093], [0.935, 0.093, 0.862], [0.158, 0.093, 0.731], [0.593, 0.731, 0.658], [0.907, 0.065, 0.638], [0.638, 0.073, 0.231], [0.269, 0.862, 0.927], [0.375, 0.750, 0.625], [0.750, 0.375, 0.125], [0.875, 0.750, 0.125], [0.625, 0.375, 0.750], [0.250, 0.625, 0.875], [0.250, 0.125, 0.375], [0.125, 0.250, 0.875], [0.750, 0.875, 0.625], [0.125, 0.875, 0.750], [0.875, 0.125, 0.250], [0.375, 0.625, 0.250], [0.625, 0.250, 0.375], [0.750, 0.125, 0.875], [0.375, 0.125, 0.750], [0.125, 0.750, 0.375], [0.375, 0.250, 0.125], [0.250, 0.875, 0.125], [0.875, 0.625, 0.750], [0.000, 0.000, 0.500], [0.875, 0.250, 0.625], [0.500, 0.500, 0.000], [0.000, 0.500, 0.500], [0.000, 0.000, 0.000], [0.500, 0.500, 0.500], [0.500, 0.000, 0.000], [0.000, 0.500, 0.000], [0.250, 0.375, 0.625], [0.125, 0.375, 0.250], [0.625, 0.750, 0.875], [0.750, 0.625, 0.375], [0.625, 0.875, 0.250], [0.500, 0.000, 0.500]],
  "dft_energy_ev_per_atom": -4.1069,
  "space_group": "Ia-3d",
  "volume_a3_per_atom": 40.6
}